The following is a DFT calculation (PBE) of a relaxed structure of ErPtO.

Cell: 3.3485 3.3485 6.0116 Å, 90.00 90.00 120.00°
Element x y z (fractional)
Pt 0.0000 0.0000 0.0395
Er 0.6667 0.3333 0.4091
O 0.3333 0.6667 0.5514

Computed properties:
- magnetic moment (μB per formula unit) = 0.00
- formation energy without anion corrections (eV per atom) = -1.716
- space-group type = P3m1 (156)
- energy relative to the lowest polymorph listed for this composition (meV/atom) = 648
- D(E_F) (states/eV/f.u.) = 0.9